A relaxed Na3Pr2HfS6 crystal, computed with PBE.

Cell lengths 6.919, 6.919, 7.125 Å; angles 99.40, 99.40, 120.04 degrees
Fractional coordinates of all 12 atoms:
S1 0.922 0.618 0.769
S2 0.228 0.228 0.773
S3 0.618 0.922 0.769
S4 0.772 0.772 0.227
S5 0.078 0.382 0.231
S6 0.382 0.078 0.231
Na1 0.833 0.167 0.500
Na2 0.167 0.833 0.500
Na3 0.500 0.500 0.500
Pr1 0.333 0.667 0.000
Pr2 0.667 0.333 0.000
Hf1 0.000 0.000 0.000

Summary:
uncorrected formation energy: -1.645 eV per atom

---

A relaxed Na3Pr2HfSe6 crystal, computed with PBE.

Cell lengths 7.187, 7.187, 7.463 Å; angles 99.33, 99.33, 120.04 degrees
Fractional coordinates of all 12 atoms:
Pr1 0.334 0.666 0.000
Pr2 0.666 0.334 0.000
Na1 0.170 0.830 0.500
Na2 0.500 0.500 0.500
Na3 0.830 0.170 0.500
Se1 0.922 0.615 0.767
Se2 0.772 0.772 0.231
Se3 0.228 0.228 0.769
Se4 0.615 0.922 0.767
Se5 0.385 0.078 0.233
Se6 0.078 0.385 0.233
Hf1 0.000 0.000 0.000

Summary:
uncorrected formation energy: -1.508 eV per atom

---

A relaxed Na2PrHfSe4 crystal, computed with PBE.

Cell lengths 4.037, 7.085, 7.464 Å; angles 108.06, 90.00, 90.00 degrees
Fractional coordinates of all 8 atoms:
Se1 0.500 0.730 0.764
Se2 0.000 0.720 0.224
Se3 0.500 0.270 0.236
Se4 0.000 0.280 0.776
Na1 0.500 0.000 0.500
Na2 0.000 0.500 0.500
Hf1 0.500 0.500 0.000
Pr1 0.000 0.000 0.000

Summary:
uncorrected formation energy: -1.422 eV per atom

---

A relaxed Na2PrHfTe4 crystal, computed with PBE.

Cell lengths 4.300, 7.550, 8.061 Å; angles 107.68, 90.00, 90.00 degrees
Fractional coordinates of all 8 atoms:
Te1 0.500 0.268 0.237
Te2 0.000 0.280 0.775
Te3 0.000 0.720 0.225
Te4 0.500 0.732 0.763
Na1 0.500 0.000 0.500
Na2 0.000 0.500 0.500
Pr1 0.000 0.000 0.000
Hf1 0.500 0.500 0.000

Summary:
uncorrected formation energy: -1.042 eV per atom

---

A relaxed Na2PrHf2Te6 crystal, computed with PBE.

Cell lengths 7.349, 7.349, 8.070 Å; angles 98.21, 98.21, 120.59 degrees
Fractional coordinates of all 11 atoms:
Hf1 0.668 0.332 0.500
Hf2 0.332 0.668 0.500
Pr1 0.000 0.000 0.500
Te1 0.569 0.928 0.273
Te2 0.293 0.293 0.274
Te3 0.928 0.569 0.273
Te4 0.072 0.431 0.727
Te5 0.431 0.072 0.727
Te6 0.707 0.707 0.726
Na1 0.845 0.155 0.000
Na2 0.155 0.845 0.000

Summary:
uncorrected formation energy: -0.989 eV per atom

---

A relaxed NaHfPt3 crystal, computed with PBE.

Cell lengths 5.002, 5.002, 5.002 Å; angles 90.00, 90.00, 90.00 degrees
Fractional coordinates of all 5 atoms:
Pt1 0.000 0.000 0.500
Pt2 0.000 0.500 0.000
Pt3 0.500 0.000 0.000
Na1 0.500 0.500 0.500
Hf1 0.000 0.000 0.000

---

A relaxed NaHfPt2 crystal, computed with PBE.

Cell lengths 2.985, 4.879, 4.879 Å; angles 90.00, 90.00, 90.00 degrees
Fractional coordinates of all 4 atoms:
Pt1 0.000 0.000 0.500
Pt2 0.000 0.500 0.000
Hf1 0.500 0.500 0.500
Na1 0.500 0.000 0.000

---

A relaxed NaHfPt2 crystal, computed with PBE.

Cell lengths 7.351, 7.351, 5.959 Å; angles 51.91, 51.91, 90.00 degrees
Fractional coordinates of all 8 atoms:
Pt1 0.875 0.897 0.750
Pt2 0.647 0.125 0.250
Pt3 0.103 0.625 0.250
Pt4 0.375 0.353 0.750
Hf1 0.000 0.000 0.000
Hf2 0.750 0.250 0.500
Na1 0.500 0.500 0.000
Na2 0.250 0.750 0.500

---

| no. | energy (eV/atom) |
| --- | --- |
| 1 | -5.665 |
| 2 | -5.207 |
| 3 | -5.336 |
| 4 | -4.784 |
| 5 | -5.187 |
| 6 | -5.630 |
| 7 | -6.415 |
| 8 | -6.158 |